1.
Computed, not measured: a relaxed structure of InRe2HgMo at the PBE level of DFT.

- Total magnetization: 0.46 μB/atom
- SG: P4/mmm (123)
- E_form: 1.771 eV per atom
- DFT total energy: -5.98 eV per atom

Structure (POSCAR):
```
InRe2HgMo
1.0
4.776 0.000 0.000
0.000 5.279 0.000
0.000 0.000 4.776
Re Mo Hg In
2 1 1 1
Cartesian
0.000 0.000 2.388
2.388 0.000 0.000
0.000 0.000 0.000
2.388 2.639 2.388
0.000 2.639 0.000
```

***

2.
Computed, not measured: a relaxed structure of Na2SmTmSe4 at the PBE level of DFT.

- Total magnetization: 0.00 μB/atom
- Uncorrected formation energy: -1.693 eV/atom
- SG: P2/m (10)
- DFT total energy: -4.91 eV per atom

Structure (POSCAR):
```
Na2SmTmSe4
1.0
-1.565 3.618 -1.344
-3.426 0.855 6.291
6.718 3.086 0.486
Na Sm Tm Se
2 1 1 4
Cartesian
2.577 3.352 -0.429
1.646 1.971 3.388
-2.496 2.236 2.474
0.000 0.000 0.000
-0.056 2.715 0.921
1.783 4.844 4.513
4.308 2.583 1.938
-1.016 1.358 4.839
```

***

3.
Computed, not measured: a relaxed structure of Nd2Th4Rh9 at the PBE level of DFT.

- Total magnetization: 0.00 μB/atom
- SG: P-3m1 (164)
- E_form: -0.736 eV per atom
- DFT total energy: -7.76 eV per atom

Structure (POSCAR):
```
Nd2Th4Rh9
1.0
4.659 0.000 0.000
-2.329 4.034 0.000
0.000 0.000 17.366
Nd Th Rh
2 4 9
Cartesian
0.000 2.690 13.047
2.329 1.345 4.319
0.000 2.690 7.045
2.329 1.345 10.321
2.329 1.345 15.610
0.000 2.690 1.756
0.000 0.000 5.785
0.000 0.000 11.581
0.000 0.000 14.551
0.000 0.000 2.815
0.000 2.690 10.062
2.329 1.345 7.304
2.329 1.345 1.161
0.000 2.690 16.205
0.000 0.000 8.683
```